[1]
Computed, not measured: a PBEsol-optimized structure of Ir2SeBr at the meta-GGA SCAN level of DFT.

Summary:
* N(E_F): 0.76 states/eV per atom
* energy above the most stable polymorph in this dataset: 101 meV/atom

CIF file:
```
data_Ir2SeBr
_chemical_formula_sum 'Ir2 Se1 Br1'
_symmetry_space_group_name_H-M 'P 1'
_symmetry_Int_Tables_number 1
_symmetry_space_group_name_Hall 'P 1'
_cell_length_a 2.796
_cell_length_b 4.101
_cell_length_c 6.161
_cell_angle_alpha 90.00
_cell_angle_beta 90.00
_cell_angle_gamma 90.00
loop_
_atom_site_label
_atom_site_fract_x
_atom_site_fract_y
_atom_site_fract_z
Ir1 0.000 0.000 0.220
Ir2 0.000 0.000 0.780
Se1 0.000 0.500 0.000
Br1 0.000 0.500 0.500
```


[2]
Computed, not measured: a PBEsol-optimized structure of IrSe3Br9 at the meta-GGA SCAN level of DFT.

Summary:
* N(E_F): 0.00 states/eV per atom
* energy above the most stable polymorph in this dataset: 0 meV/atom

CIF file:
```
data_IrSe3Br9
_chemical_formula_sum 'Ir2 Se6 Br18'
_symmetry_space_group_name_H-M 'P 1'
_symmetry_Int_Tables_number 1
_symmetry_space_group_name_Hall 'P 1'
_cell_length_a 7.895
_cell_length_b 8.314
_cell_length_c 13.130
_cell_angle_alpha 82.41
_cell_angle_beta 85.41
_cell_angle_gamma 67.69
loop_
_atom_site_label
_atom_site_fract_x
_atom_site_fract_y
_atom_site_fract_z
Ir1 0.224 0.276 0.253
Ir2 0.776 0.724 0.747
Se1 0.349 0.354 0.389
Se2 0.367 0.420 0.125
Se3 0.464 0.995 0.250
Se4 0.536 0.005 0.750
Se5 0.633 0.580 0.875
Se6 0.651 0.646 0.611
Br1 0.076 0.476 0.753
Br2 0.114 0.128 0.131
Br3 0.124 0.096 0.402
Br4 0.153 0.627 0.439
Br5 0.241 0.726 0.145
Br6 0.242 0.442 0.963
Br7 0.336 0.049 0.612
Br8 0.344 0.985 0.895
Br9 0.393 0.576 0.683
Br10 0.607 0.424 0.317
Br11 0.656 0.015 0.105
Br12 0.664 0.951 0.388
Br13 0.758 0.558 0.037
Br14 0.759 0.274 0.855
Br15 0.847 0.373 0.561
Br16 0.876 0.904 0.598
Br17 0.886 0.872 0.869
Br18 0.924 0.524 0.247
```